First-principles (PBE-GGA) data for a relaxed Cu4Ag2F9 crystal, as listed in the Alexandria database.

Cell lengths 9.633, 5.679, 15.619 Å; angles 90.00, 101.77, 90.00 degrees
Space group C2/c (No. 15)
Symmetry-distinct sites (fractional):
Cu1 0.151 0.069 0.181 [8 per cell]
Cu2 0.172 0.010 0.486 [8 per cell]
Ag1 0.013 0.482 0.657 [8 per cell]
F1 0.000 0.168 0.250 [4 per cell]
F2 0.004 0.097 0.593 [8 per cell]
F3 0.174 0.322 0.430 [8 per cell]
F4 0.184 0.255 0.070 [8 per cell]
F5 0.196 0.260 0.744 [8 per cell]

Computed properties:
Formation energy without anion corrections (eV per atom): -1.30

First-principles (PBE-GGA) data for a relaxed Cs2GePd2 crystal, as listed in the Alexandria database.

Cell lengths 4.4638, 4.4638, 34.0841 Å; angles 90.00, 90.00, 120.00 degrees
Space group R-3m (No. 166, hexagonal axes)
Symmetry-distinct sites (fractional):
Cs1 0.0000 0.0000 0.0774 [6 per cell]
Ge1 0.0000 0.0000 0.5000 [3 per cell]
Pd1 0.0000 0.0000 0.1801 [6 per cell]

Computed properties:
Distance to the lowest polymorph of the same formula (eV/atom): 0.000
Formation enthalpy at 0 K (eV per atom): -0.263

First-principles (PBE-GGA) data for a relaxed PuTh4Tl5 crystal, as listed in the Alexandria database.

Cell lengths 6.722, 11.750, 8.064 Å; angles 90.00, 90.00, 90.00 degrees
Space group Pmmn (No. 59, origin choice 2)
Symmetry-distinct sites (fractional):
Pu1 0.250 0.250 0.244 [2 per cell]
Th1 0.010 0.250 0.616 [4 per cell]
Th2 0.250 0.098 0.979 [4 per cell]
Tl1 0.009 0.536 0.679 [8 per cell]
Tl2 0.250 0.750 0.997 [2 per cell]

Computed properties:
Formation enthalpy at 0 K (eV per atom): 0.216

First-principles (PBE-GGA) data for a relaxed CaPuPa2P4 crystal, as listed in the Alexandria database.

Cell lengths 5.650, 5.650, 11.379 Å; angles 90.00, 90.00, 90.00 degrees
Space group I-4m2 (No. 119)
Symmetry-distinct sites (fractional):
Ca1 0.000 0.000 0.000 [2 per cell]
Pu1 0.000 0.500 0.750 [2 per cell]
Pa1 0.000 0.000 0.500 [2 per cell]
Pa2 0.000 0.500 0.250 [2 per cell]
P1 0.000 0.000 0.256 [4 per cell]
P2 0.000 0.500 0.003 [4 per cell]

Computed properties:
Formation enthalpy at 0 K (eV per atom): -1.240

First-principles (PBE-GGA) data for a relaxed IrOsW2 crystal, as listed in the Alexandria database.

Cell lengths 2.789, 2.789, 7.831 Å; angles 90.00, 90.00, 90.00 degrees
Space group P4/mmm (No. 123)
Symmetry-distinct sites (fractional):
Ir1 0.000 0.000 0.000 [1 per cell]
Os1 0.000 0.000 0.500 [1 per cell]
W1 0.500 0.500 0.253 [2 per cell]

Computed properties:
Distance to the lowest polymorph of the same formula (eV/atom): 0.015
Formation enthalpy at 0 K (eV per atom): -0.106

First-principles (PBE-GGA) data for a relaxed TmBiPt4 crystal, as listed in the Alexandria database.

Cell lengths 7.700, 7.700, 7.700 Å; angles 90.00, 90.00, 90.00 degrees
Space group F-43m (No. 216)
Symmetry-distinct sites (fractional):
Tm1 0.000 0.000 0.000 [4 per cell]
Bi1 0.250 0.250 0.250 [4 per cell]
Pt1 0.125 0.125 0.625 [16 per cell]

Computed properties:
Formation enthalpy at 0 K (eV per atom): -0.663

First-principles (PBE-GGA) data for a relaxed SrCoW2 crystal, as listed in the Alexandria database.

Cell lengths 5.403, 10.398, 2.743 Å; angles 90.00, 109.63, 90.00 degrees
Space group C2/m (No. 12)
Symmetry-distinct sites (fractional):
Sr1 0.000 0.000 0.000 [2 per cell]
Co1 0.000 0.500 0.000 [2 per cell]
W1 0.250 0.250 0.500 [4 per cell]

Computed properties:
Distance to the lowest polymorph of the same formula (eV/atom): 0.461
Formation enthalpy at 0 K (eV per atom): 1.127

First-principles (PBE-GGA) data for a relaxed USnBi crystal, as listed in the Alexandria database.

Cell lengths 5.5041, 5.5041, 3.1587 Å; angles 90.00, 90.00, 120.00 degrees
Space group P-6m2 (No. 187)
Symmetry-distinct sites (fractional):
U1 0.0000 0.0000 0.0000 [1 per cell]
Sn1 0.6667 0.3333 0.5000 [1 per cell]
Bi1 0.3333 0.6667 0.5000 [1 per cell]

Computed properties:
Distance to the lowest polymorph of the same formula (eV/atom): 0.168
Formation enthalpy at 0 K (eV per atom): 0.174

First-principles (PBE-GGA) data for a relaxed MgSiAu2 crystal, as listed in the Alexandria database.

Cell lengths 9.041, 3.635, 4.401 Å; angles 90.00, 102.67, 90.00 degrees
Space group Cm (No. 8)
Symmetry-distinct sites (fractional):
Mg1 0.000 0.000 0.000 [2 per cell]
Si1 0.241 0.000 0.664 [2 per cell]
Au1 0.234 0.500 0.167 [2 per cell]
Au2 0.499 0.000 0.514 [2 per cell]

Computed properties:
Formation energy without anion corrections (eV per atom): -0.18

First-principles (PBE-GGA) data for a relaxed Nd2Ag3Hg4 crystal, as listed in the Alexandria database.

Cell lengths 5.640, 9.914, 15.108 Å; angles 90.00, 90.00, 90.00 degrees
Space group Fmmm (No. 69)
Symmetry-distinct sites (fractional):
Nd1 0.000 0.000 0.134 [8 per cell]
Ag1 0.000 0.000 0.500 [4 per cell]
Ag2 0.250 0.250 0.000 [8 per cell]
Hg1 0.000 0.161 0.330 [16 per cell]

Computed properties:
Distance to the lowest polymorph of the same formula (eV/atom): 0.031
Formation enthalpy at 0 K (eV per atom): -0.257

First-principles (PBE-GGA) data for a relaxed NaHfPb2Au crystal, as listed in the Alexandria database.

Cell lengths 5.487, 5.487, 5.001 Å; angles 90.00, 90.00, 90.00 degrees
Space group P4/mmm (No. 123)
Symmetry-distinct sites (fractional):
Na1 0.000 0.000 0.000 [1 per cell]
Hf1 0.500 0.500 0.000 [1 per cell]
Pb1 0.000 0.500 0.500 [2 per cell]
Au1 0.000 0.000 0.500 [1 per cell]

Computed properties:
Formation enthalpy at 0 K (eV per atom): 0.661

First-principles (PBE-GGA) data for a relaxed HOsRh crystal, as listed in the Alexandria database.

Cell lengths 9.290, 2.760, 6.742 Å; angles 90.00, 132.88, 90.00 degrees
Space group Cm (No. 8)
Symmetry-distinct sites (fractional):
H1 0.000 0.000 0.000 [2 per cell]
H2 0.209 0.500 0.843 [2 per cell]
Os1 0.066 0.000 0.561 [2 per cell]
Os2 0.434 0.000 0.759 [2 per cell]
Rh1 0.158 0.500 0.314 [2 per cell]
Rh2 0.289 0.000 0.102 [2 per cell]

Computed properties:
Distance to the lowest polymorph of the same formula (eV/atom): 0.118

First-principles (PBE-GGA) data for a relaxed ZrBrOF2 crystal, as listed in the Alexandria database.

Cell lengths 4.302, 4.302, 4.168 Å; angles 90.00, 90.00, 90.00 degrees
Space group P4/mmm (No. 123)
Symmetry-distinct sites (fractional):
Zr1 0.000 0.000 0.000 [1 per cell]
Br1 0.500 0.500 0.500 [1 per cell]
O1 0.000 0.000 0.500 [1 per cell]
F1 0.000 0.500 0.000 [2 per cell]

Computed properties:
Formation energy without anion corrections (eV per atom): -2.38
Distance to the lowest polymorph of the same formula (eV/atom): 0.000

First-principles (PBE-GGA) data for a relaxed PaAgPd crystal, as listed in the Alexandria database.

Cell lengths 3.0835, 3.0835, 7.3557 Å; angles 90.00, 90.00, 120.00 degrees
Space group P3m1 (No. 156)
Symmetry-distinct sites (fractional):
Pa1 0.0000 0.0000 0.0000 [1 per cell]
Ag1 0.3333 0.6667 0.6327 [1 per cell]
Pd1 0.6667 0.3333 0.3229 [1 per cell]

Computed properties:
Distance to the lowest polymorph of the same formula (eV/atom): 0.122
Formation enthalpy at 0 K (eV per atom): -0.051

First-principles (PBE-GGA) data for a relaxed LiMg2Pb crystal, as listed in the Alexandria database.

Cell lengths 3.617, 3.617, 6.983 Å; angles 90.00, 90.00, 90.00 degrees
Space group P4mm (No. 99)
Symmetry-distinct sites (fractional):
Li1 0.000 0.000 0.000 [1 per cell]
Mg1 0.000 0.000 0.479 [1 per cell]
Mg2 0.500 0.500 0.226 [1 per cell]
Pb1 0.500 0.500 0.757 [1 per cell]

Computed properties:
Formation enthalpy at 0 K (eV per atom): -0.121

First-principles (PBE-GGA) data for a relaxed CdTcNi2Rh crystal, as listed in the Alexandria database.

Cell lengths 4.558, 4.558, 4.867 Å; angles 90.00, 90.00, 90.00 degrees
Space group P4/mmm (No. 123)
Symmetry-distinct sites (fractional):
Cd1 0.000 0.000 0.000 [1 per cell]
Tc1 0.500 0.500 0.500 [1 per cell]
Ni1 0.000 0.500 0.000 [2 per cell]
Rh1 0.000 0.000 0.500 [1 per cell]

Computed properties:
Formation enthalpy at 0 K (eV per atom): 1.794

First-principles (PBE-GGA) data for a relaxed Dy8TcAu2 crystal, as listed in the Alexandria database.

Cell lengths 8.258, 13.836, 5.726 Å; angles 90.00, 112.58, 90.00 degrees
Space group Cm (No. 8)
Symmetry-distinct sites (fractional):
Dy1 0.000 0.000 0.000 [2 per cell]
Dy2 0.075 0.383 0.812 [4 per cell]
Dy3 0.152 0.116 0.591 [4 per cell]
Dy4 0.222 0.500 0.382 [2 per cell]
Dy5 0.366 0.203 0.193 [4 per cell]
Tc1 0.361 0.000 0.089 [2 per cell]
Au1 0.358 0.299 0.687 [4 per cell]

Computed properties:
Formation enthalpy at 0 K (eV per atom): -0.242

First-principles (PBE-GGA) data for a relaxed TiBe2CuBi crystal, as listed in the Alexandria database.

Cell lengths 4.118, 4.118, 5.256 Å; angles 90.00, 90.00, 90.00 degrees
Space group P4/mmm (No. 123)
Symmetry-distinct sites (fractional):
Ti1 0.000 0.000 0.000 [1 per cell]
Be1 0.000 0.500 0.500 [2 per cell]
Cu1 0.500 0.500 0.500 [1 per cell]
Bi1 0.500 0.500 0.000 [1 per cell]

Computed properties:
Formation enthalpy at 0 K (eV per atom): 0.711

First-principles (PBE-GGA) data for a relaxed In3Se2 crystal, as listed in the Alexandria database.

Cell lengths 5.1400, 5.1400, 6.4264 Å; angles 90.00, 90.00, 120.00 degrees
Space group P-3m1 (No. 164)
Symmetry-distinct sites (fractional):
In1 0.0000 0.0000 0.0000 [1 per cell]
In2 0.3333 0.6667 0.2991 [2 per cell]
Se1 0.3333 0.6667 0.7604 [2 per cell]

Computed properties:
Formation energy without anion corrections (eV per atom): -0.25
Distance to the lowest polymorph of the same formula (eV/atom): 0.135

First-principles (PBE-GGA) data for a relaxed Ca2MgGa4Ir3 crystal, as listed in the Alexandria database.

Cell lengths 4.113, 4.113, 11.301 Å; angles 90.00, 90.00, 90.00 degrees
Space group P-4m2 (No. 115)
Symmetry-distinct sites (fractional):
Ca1 0.000 0.500 0.235 [2 per cell]
Mg1 0.000 0.000 0.500 [1 per cell]
Ga1 0.000 0.000 0.000 [1 per cell]
Ga2 0.000 0.500 0.646 [2 per cell]
Ga3 0.500 0.500 0.000 [1 per cell]
Ir1 0.000 0.500 0.867 [2 per cell]
Ir2 0.500 0.500 0.500 [1 per cell]

Computed properties:
Formation enthalpy at 0 K (eV per atom): -0.523

First-principles (PBE-GGA) data for a relaxed BaSiW2 crystal, as listed in the Alexandria database.

Cell lengths 4.918, 4.918, 18.125 Å; angles 90.00, 90.00, 90.00 degrees
Space group I4_1/amd (No. 141, origin choice 2)
Symmetry-distinct sites (fractional):
Ba1 0.000 0.250 0.375 [4 per cell]
Si1 0.000 0.250 0.875 [4 per cell]
W1 0.000 0.000 0.000 [8 per cell]

Computed properties:
Formation energy without anion corrections (eV per atom): 0.98
Distance to the lowest polymorph of the same formula (eV/atom): 0.560

Calculated N(E_F), 19.97 8.43 25.60 26.04 3.24 3.98 8.91 5.25 2.15 22.43 4.18 10.10 1.98 4.11 1.19 9.14 24.94 3.47 2.37 5.35 16.29 states/eV per cell (same order as the records).